## Sc2CuAsH (PBE-GGA)

Data for crystalline Sc2CuAsH at its relaxed geometry.

```
Sc2CuAsH
1.0
4.2369 0.0000 0.0000
0.0000 4.2369 0.0000
0.0000 0.0000 4.2076
Sc Cu As H
2 1 1 1
Direct
0.0000 0.5000 0.0000
0.5000 0.0000 0.0000
0.0000 0.0000 0.5000
0.5000 0.5000 0.5000
0.5000 0.5000 0.0000
```

## Properties
Its crystal system is tetragonal. The space group is No. 123.

=====

## SmCuAsH (PBE-GGA)

Data for crystalline SmCuAsH at its relaxed geometry.

```
SmCuAsH
1.0
3.9670 0.0000 0.0000
0.0000 3.9670 0.0000
0.0000 0.0000 7.8804
Sm Cu As H
2 2 2 2
Direct
0.2500 0.2500 0.1691
0.7500 0.7500 0.8309
0.2500 0.7500 0.5000
0.7500 0.2500 0.5000
0.2500 0.2500 0.6957
0.7500 0.7500 0.3043
0.2500 0.7500 0.0000
0.7500 0.2500 0.0000
```

## Properties
Its crystal system is tetragonal. The space group is No. 129.

=====

## SrCu2AsH2 (PBE-GGA)

Data for crystalline SrCu2AsH2 at its relaxed geometry.

```
SrCu2AsH2
1.0
6.4084 0.0000 0.0000
0.0000 5.0449 0.0000
-2.3850 0.0000 5.9518
Sr Cu As H
2 4 2 4
Direct
0.1782 0.2500 0.3248
0.8218 0.7500 0.6752
0.3217 0.0001 0.8242
0.3217 0.4999 0.8242
0.6783 0.9999 0.1758
0.6783 0.5001 0.1758
0.3405 0.7500 0.1627
0.6595 0.2500 0.8373
0.1323 0.2500 0.7371
0.2341 0.7500 0.6348
0.7659 0.2500 0.3652
0.8677 0.7500 0.2629
```

## Properties
Its crystal system is monoclinic. The space group is No. 11.

=====

no.,total moment (μB per cell),E_tot (eV per atom),ρ (g cm⁻³)
1,0.71,-5.21,5.04
2,0.00,-4.97,7.76
3,0.00,-3.83,5.03